First-principles (PBE) data for a relaxed KInBr2Cl crystal, as listed in Alexandria.

Unit cell a=5.708 b=5.708 c=5.424 alpha=90.00 beta=90.00 gamma=90.00
Sites, in units of the cell vectors:
Br: 0.000 0.500 0.000
In: 0.000 0.000 0.000
Cl: 0.000 0.000 0.500
Br: 0.500 0.000 0.000
K: 0.500 0.500 0.500

Calculated values
space-group type: P4/mmm
formation energy from raw total energies: -1179 meV/atom


First-principles (PBE) data for a relaxed NaSbI2F crystal, as listed in Alexandria.

Unit cell a=5.566 b=5.566 c=5.776 alpha=90.00 beta=90.00 gamma=90.00
Last column: magnetic moment on the atom in μB.
Sites, in units of the cell vectors:
Sb: 0.000 0.000 0.500  0.02
I: 0.500 0.000 0.000  0.01
Na: 0.000 0.000 0.000  0.00
I: 0.000 0.500 0.000  0.01
F: 0.500 0.500 0.500  0.06

Calculated values
space-group type: P4/mmm
formation energy from raw total energies: 168 meV/atom


First-principles (PBE) data for a relaxed KHgC3 crystal, as listed in Alexandria.

Unit cell a=5.653 b=5.653 c=5.653 alpha=90.00 beta=90.00 gamma=90.00
Last column: magnetic moment on the atom in μB.
Sites, in units of the cell vectors:
Hg: 0.500 0.500 0.500  0.00
K: 0.000 0.000 0.000  0.09
C: 0.000 0.500 0.000  1.02
C: 0.500 0.000 0.000  1.13
C: 0.000 0.000 0.500  1.05

Calculated values
space-group type: Pm-3m
energy of formation: 3.949 eV/atom